A relaxed structure of GdCoO3. Source: the Open Quantum Materials Database, functional PBE+U.

Unit cell a=3.722 b=3.722 c=3.796 alpha=90.00 beta=90.00 gamma=90.00
Sites, in units of the cell vectors:
Gd (0.000, 0.000, 0.000)
Co (0.500, 0.500, 0.500)
O (0.000, 0.500, 0.500)
O (0.500, 0.000, 0.500)
O (0.500, 0.500, 0.000)

VASP energy = -6.975 eV per atom